Record 1
Density functional theory data (PBE) for a relaxed Ce5Th8Sc crystal.

Unit cell a=8.334 b=8.334 c=8.692 alpha=120.84 beta=120.84 gamma=85.83
Atoms (fractional coordinates):
1 Ce 0.000 0.000 0.000
2 Ce 0.303 0.420 0.673
3 Ce 0.370 0.241 0.892
4 Ce 0.580 0.697 0.327
5 Ce 0.759 0.630 0.108
6 Th 0.011 0.558 0.838
7 Th 0.092 0.766 0.612
8 Th 0.207 0.430 0.235
9 Th 0.234 0.908 0.388
10 Th 0.442 0.989 0.162
11 Th 0.570 0.793 0.765
12 Th 0.698 0.198 0.742
13 Th 0.802 0.302 0.258
14 Sc 0.919 0.081 0.500

Space group: C2 (5)

Record 2
Density functional theory data (PBE) for a relaxed CeTh3Sc6 crystal.

Unit cell a=9.340 b=9.340 c=5.776 alpha=91.41 beta=91.41 gamma=33.75
Atoms (fractional coordinates):
1 Ce 0.000 0.000 0.000
2 Th 0.113 0.113 0.611
3 Th 0.407 0.407 0.123
4 Th 0.711 0.711 0.475
5 Sc 0.218 0.218 0.120
6 Sc 0.312 0.312 0.629
7 Sc 0.502 0.502 0.599
8 Sc 0.612 0.612 0.002
9 Sc 0.803 0.803 0.973
10 Sc 0.898 0.898 0.483

Space group: Cm (8)
Distance to the lowest polymorph of the same formula (kcal/mol of atoms): 0.00

Record 3
Density functional theory data (PBE) for a relaxed Ce3Th4Sc crystal.

Unit cell a=11.409 b=6.967 c=5.942 alpha=90.00 beta=90.00 gamma=90.00
Atoms (fractional coordinates):
1 Ce 0.000 0.000 0.000
2 Ce 0.250 0.000 0.342
3 Ce 0.250 0.500 0.337
4 Ce 0.500 0.000 0.000
5 Ce 0.750 0.000 0.658
6 Ce 0.750 0.500 0.663
7 Th 0.000 0.254 0.500
8 Th 0.000 0.746 0.500
9 Th 0.250 0.255 0.849
10 Th 0.250 0.745 0.849
11 Th 0.500 0.254 0.500
12 Th 0.500 0.746 0.500
13 Th 0.750 0.255 0.151
14 Th 0.750 0.745 0.151
15 Sc 0.000 0.500 0.000
16 Sc 0.500 0.500 0.000

Space group: Pmma (51)

Record 4
Density functional theory data (PBE) for a relaxed Ce2Th2Sc5 crystal.

Unit cell a=3.432 b=8.449 c=8.833 alpha=78.27 beta=89.80 gamma=89.96
Atoms (fractional coordinates):
1 Ce 0.235 0.368 0.374
2 Ce 0.765 0.632 0.626
3 Th 0.246 0.868 0.899
4 Th 0.754 0.132 0.101
5 Sc 0.217 0.289 0.780
6 Sc 0.258 0.929 0.389
7 Sc 0.500 0.500 0.000
8 Sc 0.742 0.071 0.611
9 Sc 0.783 0.711 0.220

Space group: P-1 (2)

Record 5
Density functional theory data (PBE) for a relaxed CeThSc crystal.

Unit cell a=9.049 b=9.049 c=5.761 alpha=106.90 beta=106.90 gamma=21.85
Atoms (fractional coordinates):
1 Ce 0.248 0.248 0.270
2 Ce 0.752 0.752 0.730
3 Th 0.087 0.087 0.754
4 Th 0.913 0.913 0.246
5 Sc 0.422 0.422 0.752
6 Sc 0.578 0.578 0.248

Space group: C2/m (12)
Distance to the lowest polymorph of the same formula (kcal/mol of atoms): 0.00

Record 6
Density functional theory data (PBE) for a relaxed Ce5Th4Sc crystal.

Unit cell a=3.480 b=3.480 c=23.968 alpha=90.00 beta=90.00 gamma=90.00
Atoms (fractional coordinates):
1 Ce 0.000 0.000 0.000
2 Ce 0.000 0.000 0.202
3 Ce 0.000 0.000 0.403
4 Ce 0.000 0.000 0.597
5 Ce 0.000 0.000 0.798
6 Th 0.500 0.500 0.101
7 Th 0.500 0.500 0.304
8 Th 0.500 0.500 0.696
9 Th 0.500 0.500 0.899
10 Sc 0.500 0.500 0.500

Space group: P4/mmm (123)

Record 7
Density functional theory data (PBE) for a relaxed Ce2Th6Sc crystal.

Unit cell a=6.048 b=6.048 c=8.614 alpha=90.00 beta=90.00 gamma=119.76
Atoms (fractional coordinates):
1 Ce 0.000 0.500 0.164
2 Ce 0.500 0.000 0.836
3 Th 0.161 0.332 0.832
4 Th 0.328 0.672 0.500
5 Th 0.332 0.161 0.168
6 Th 0.668 0.839 0.168
7 Th 0.672 0.328 0.500
8 Th 0.839 0.668 0.832
9 Sc 0.000 0.000 0.500

Space group: C222 (21)
Distance to the lowest polymorph of the same formula (kcal/mol of atoms): 0.26

Record 8
Density functional theory data (PBE) for a relaxed CeTh2Sc crystal.

Unit cell a=4.977 b=4.977 c=4.746 alpha=90.00 beta=90.00 gamma=90.00
Atoms (fractional coordinates):
1 Ce 0.000 0.000 0.000
2 Th 0.000 0.500 0.500
3 Th 0.500 0.000 0.500
4 Sc 0.500 0.500 0.000

Space group: P4/mmm (123)
Distance to the lowest polymorph of the same formula (kcal/mol of atoms): 0.97

Record 9
Density functional theory data (PBE) for a relaxed CeTh3Sc6 crystal.

Unit cell a=9.542 b=9.542 c=9.149 alpha=90.00 beta=90.00 gamma=138.20
Atoms (fractional coordinates):
1 Ce 0.225 0.775 0.500
2 Ce 0.775 0.225 0.000
3 Th 0.121 0.368 0.671
4 Th 0.368 0.121 0.171
5 Th 0.467 0.533 0.343
6 Th 0.533 0.467 0.843
7 Th 0.632 0.879 0.671
8 Th 0.879 0.632 0.171
9 Sc 0.037 0.963 0.839
10 Sc 0.061 0.433 0.290
11 Sc 0.170 0.311 0.046
12 Sc 0.284 0.716 0.005
13 Sc 0.311 0.170 0.546
14 Sc 0.433 0.061 0.790
15 Sc 0.567 0.939 0.290
16 Sc 0.689 0.830 0.046
17 Sc 0.716 0.284 0.505
18 Sc 0.830 0.689 0.546
19 Sc 0.939 0.567 0.790
20 Sc 0.963 0.037 0.339

Space group: Cmc2_1 (36)
Distance to the lowest polymorph of the same formula (kcal/mol of atoms): 1.04

Record 10
Density functional theory data (PBE) for a relaxed Ce2Th2Sc7 crystal.

Unit cell a=7.609 b=7.609 c=5.557 alpha=105.44 beta=105.44 gamma=89.88
Atoms (fractional coordinates):
1 Ce 0.239 0.761 0.000
2 Ce 0.761 0.239 0.000
3 Th 0.392 0.392 0.696
4 Th 0.608 0.608 0.304
5 Sc 0.000 0.000 0.500
6 Sc 0.069 0.590 0.333
7 Sc 0.201 0.201 0.084
8 Sc 0.410 0.931 0.667
9 Sc 0.590 0.069 0.333
10 Sc 0.799 0.799 0.916
11 Sc 0.931 0.410 0.667

Space group: C2/m (12)
Distance to the lowest polymorph of the same formula (kcal/mol of atoms): 0.00

Record 11
Density functional theory data (PBE) for a relaxed Ce2Th6Sc5 crystal.

Unit cell a=10.316 b=21.479 c=3.415 alpha=90.00 beta=90.00 gamma=90.00
Atoms (fractional coordinates):
1 Ce 0.160 0.237 0.000
2 Ce 0.340 0.737 0.000
3 Ce 0.660 0.263 0.000
4 Ce 0.840 0.763 0.000
5 Th 0.013 0.886 0.000
6 Th 0.152 0.620 0.000
7 Th 0.167 0.375 0.500
8 Th 0.333 0.875 0.500
9 Th 0.348 0.120 0.000
10 Th 0.487 0.386 0.000
11 Th 0.513 0.614 0.000
12 Th 0.652 0.880 0.000
13 Th 0.667 0.125 0.500
14 Th 0.833 0.625 0.500
15 Th 0.848 0.380 0.000
16 Th 0.987 0.114 0.000
17 Sc 0.000 0.500 0.500
18 Sc 0.092 0.755 0.500
19 Sc 0.166 0.006 0.500
20 Sc 0.334 0.506 0.500
21 Sc 0.408 0.255 0.500
22 Sc 0.500 0.000 0.500
23 Sc 0.592 0.745 0.500
24 Sc 0.666 0.494 0.500
25 Sc 0.834 0.994 0.500
26 Sc 0.908 0.245 0.500

Space group: Pbam (55)

Record 12
Density functional theory data (PBE) for a relaxed Ce5Th3Sc3 crystal.

Unit cell a=8.706 b=8.706 c=5.420 alpha=90.00 beta=90.00 gamma=120.00
Atoms (fractional coordinates):
1 Ce 0.000 0.622 0.000
2 Ce 0.333 0.667 0.000
3 Ce 0.378 0.378 0.000
4 Ce 0.622 0.000 0.000
5 Ce 0.667 0.333 0.000
6 Th 0.000 0.483 0.500
7 Th 0.483 0.000 0.500
8 Th 0.517 0.517 0.500
9 Sc 0.000 0.236 0.000
10 Sc 0.236 0.000 0.000
11 Sc 0.764 0.764 0.000

Space group: P-62m (189)

Ordered energy relative to the elements results: 2.66 1.07 0.51 1.32 0.14 0.32 1.10 0.27 1.53 2.03 2.70 7.44; unit eV per formula unit.
Ordered size of the total moment results: 0.0 0.9 0.0 2.0 0.0 0.0 0.0 0.0 0.5 1.0 0.0 0.0; unit μB per formula unit.